Rb2HPd: relaxed, GGA-PBE.

Geometry as POSCAR:
```
Rb2HPd
1.0
8.9029 0.0000 0.0000
0.0000 3.5540 0.0000
-2.4565 0.0000 8.9992
Rb H Pd
4 2 2
direct
0.2458 0.2500 0.0635
0.2468 0.2500 0.5604
0.7532 0.7500 0.4396
0.7542 0.7500 0.9365
0.0135 0.2500 0.2537
0.9865 0.7500 0.7463
0.0215 0.7500 0.2560
0.9785 0.2500 0.7440
```

magnetic moment = 0.0 μB per formula unit
calculated volume = 285 Å³/cell
offset from the most stable computed form = 0.000 eV/atom
symmetry = P2_1/m (11)
calculated total energy = -2.648 eV per atom


RbHPd2: relaxed, GGA-PBE.

Geometry as POSCAR:
```
RbHPd2
1.0
0.0000 4.1943 4.1943
4.1943 0.0000 4.1943
4.1943 4.1943 0.0000
Rb H Pd
2 2 4
direct
0.1250 0.1250 0.1250
0.8750 0.8750 0.8750
0.3750 0.3750 0.3750
0.6250 0.6250 0.6250
0.0000 0.5000 0.5000
0.5000 0.0000 0.5000
0.5000 0.5000 0.0000
0.5000 0.5000 0.5000
```

magnetic moment = 0.0 μB per formula unit
calculated volume = 148 Å³/cell
offset from the most stable computed form = 0.000 eV/atom
symmetry = Fd-3m (227)
calculated total energy = -3.840 eV per atom


Rb5H6Pd: relaxed, GGA-PBE.

Geometry as POSCAR:
```
Rb5H6Pd
1.0
3.5090 -6.1578 0.0000
3.5090 6.1578 0.0000
-2.0257 0.0000 6.5728
Rb H Pd
5 6 1
direct
0.0000 0.0000 0.0000
0.1844 0.8156 0.5000
0.3440 0.6560 0.0000
0.6560 0.3440 0.0000
0.8156 0.1844 0.5000
0.0606 0.3981 0.2276
0.3401 0.3401 0.6482
0.3981 0.0606 0.2276
0.6019 0.9394 0.7724
0.6599 0.6599 0.3518
0.9394 0.6019 0.7724
0.5000 0.5000 0.5000
```

magnetic moment = 0.9 μB per formula unit
calculated volume = 284 Å³/cell
symmetry = C2/m (12)
calculated total energy = -2.512 eV per atom